## PmZnH8Ir2 (PBE)

Data for a relaxed structure of PmZnH8Ir2.

Total energy, eV per atom: -4.351

a = 4.6755 Å, b = 4.6755 Å, c = 16.3309 Å
α = 90.00°, β = 90.00°, γ = 120.00°
Last column: nearest neighbours and their distance in Å.
Space group R-3m (No. 166, hexagonal axes)
One atom of each set of equivalent atoms:
Pm: 0.0000 0.0000 0.0000 [3 per cell]  18 H 2.65-2.71
Zn: 0.0000 0.0000 0.5000 [3 per cell]  6 H 1.89
H: 0.0000 0.0000 0.3178 [6 per cell]  1 Ir 1.63, 3 H 1.81
H: 0.0408 0.5204 0.0763 [18 per cell]  1 Ir 1.64, 1 H 1.81
Ir: 0.0000 0.0000 0.2178 [6 per cell]  4 H 1.63-1.64

***

## BaIr2Br (PBE)

Data for a relaxed structure of BaIr2Br.

Energy relative to the elements, uncorrected, eV/atom: 1.09
Energy above the lowest structure with this stoichiometry, meV/atom: 1286

a = 3.1623 Å, b = 3.1623 Å, c = 28.9103 Å
α = 90.00°, β = 90.00°, γ = 120.00°
Last column: nearest neighbours and their distance in Å.
Space group R-3m (No. 166, hexagonal axes)
One atom of each set of equivalent atoms:
Ba: 0.0000 0.0000 0.0000 [3 per cell]  6 Ba 3.16, 6 Ir 3.32
Ir: 0.0000 0.0000 0.2374 [6 per cell]  3 Br 2.74
Br: 0.0000 0.0000 0.5000 [3 per cell]  6 Ir 2.74

***

## Y2AlTlV (PBE)

Data for a relaxed structure of Y2AlTlV.

Energy of formation from the pure elements, meV per atom: 793

a = 5.6601 Å, b = 5.6601 Å, c = 5.0390 Å
α = 90.00°, β = 90.00°, γ = 90.00°
Last column: nearest neighbours and their distance in Å.
Space group P4/mmm (No. 123)
One atom of each set of equivalent atoms:
Y: 0.0000 0.5000 0.0000 [2 per cell]  2 Tl 2.83
Al: 0.0000 0.0000 0.5000 [1 per cell]  8 Y 3.79, 4 V 4.00
Tl: 0.5000 0.5000 0.0000 [1 per cell]  2 V 2.52
V: 0.5000 0.5000 0.5000 [1 per cell]  2 Tl 2.52

***

## La4Sm3Pd2 (PBE)

Data for a relaxed structure of La4Sm3Pd2.

Energy of formation from the pure elements, meV per atom: -320

a = 17.3180 Å, b = 3.8679 Å, c = 9.3873 Å
α = 90.00°, β = 112.76°, γ = 90.00°
Last column: nearest neighbours and their distance in Å.
Space group C2/m (No. 12)
One atom of each set of equivalent atoms:
La: 0.1258 0.0000 0.3813 [4 per cell]  5 La 3.75-4.00, 6 Sm 3.77-3.91, 2 Pd 4.05-4.12
La: 0.2322 0.5000 0.1666 [4 per cell]  3 Pd 2.99-3.17
Sm: 0.0000 0.5000 0.0000 [2 per cell]  4 Pd 2.99
Sm: 0.0718 0.5000 0.6815 [4 per cell]  2 Pd 2.98
Pd: 0.1163 0.0000 0.9430 [4 per cell]  4 Sm 2.98-2.99, 3 La 2.99-3.17

***

## PrSmY6Er2 (PBE)

Data for a relaxed structure of PrSmY6Er2.

Energy of formation from the pure elements, meV per atom: 121

a = 9.2155 Å, b = 14.9825 Å, c = 9.6479 Å
α = 90.00°, β = 97.85°, γ = 90.00°
Last column: nearest neighbours and their distance in Å.
Space group C2/c (No. 15)
One atom of each set of equivalent atoms:
Pr: 0.0000 0.0930 0.2500 [4 per cell]  6 Y 3.43-3.54, 2 Er 3.56
Sm: 0.0000 0.4722 0.7500 [4 per cell]  4 Er 3.38-3.42, 4 Y 3.54-3.65
Y: 0.0650 0.3189 0.4433 [8 per cell]  7 Y 3.43-3.78, 1 Er 3.47, 1 Sm 3.65
Y: 0.0966 0.1078 0.6171 [8 per cell]  4 Y 3.24-3.57, 3 Er 3.31-3.47, 2 Pr 3.43-3.54
Y: 0.2055 0.2739 0.8197 [8 per cell]  2 Y 3.24-3.54, 2 Er 3.42-3.59, 1 Pr 3.51, 1 Sm 3.54
Er: 0.2444 0.4499 0.0484 [8 per cell]  6 Y 3.31-3.59, 2 Sm 3.38-3.42, 1 Pr 3.56

***

## CoNi2HgN (PBE)

Data for a relaxed structure of CoNi2HgN.

Energy relative to the elements, uncorrected, eV/atom: 0.05

a = 3.9187 Å, b = 3.9187 Å, c = 3.7866 Å
α = 90.00°, β = 90.00°, γ = 90.00°
Last column: nearest neighbours and their distance in Å.
Space group P4/mmm (No. 123)
One atom of each set of equivalent atoms:
Co: 0.0000 0.0000 0.0000 [1 per cell]  2 N 1.89
Ni: 0.0000 0.5000 0.5000 [2 per cell]  2 N 1.96
Hg: 0.5000 0.5000 0.0000 [1 per cell]  8 Ni 2.72, 4 Co 2.77
N: 0.0000 0.0000 0.5000 [1 per cell]  2 Co 1.89, 4 Ni 1.96

***

## Pm2YHoMg (PBE)

Data for a relaxed structure of Pm2YHoMg.

Energy of formation from the pure elements, meV per atom: 10

a = 6.6689 Å, b = 5.5534 Å, c = 8.6599 Å
α = 90.00°, β = 103.34°, γ = 90.00°
Last column: nearest neighbours and their distance in Å.
Space group P2_1/m (No. 11)
One atom of each set of equivalent atoms:
Pm: 0.0377 0.2500 0.3539 [2 per cell]  3 Mg 3.40-3.42, 3 Ho 3.55-3.60, 1 Pm 3.58, 1 Y 3.67
Pm: 0.1167 0.7500 0.0706 [2 per cell]  3 Pm 3.28-3.58, 1 Mg 3.28, 1 Ho 3.29, 2 Y 3.54
Y: 0.4558 0.2500 0.1437 [2 per cell]  3 Mg 3.36-3.37, 1 Ho 3.50, 4 Pm 3.54-3.74
Ho: 0.3762 0.7500 0.4429 [2 per cell]  1 Mg 3.21, 2 Ho 3.27, 3 Pm 3.29-3.55, 1 Y 3.50
Mg: 0.2644 0.2500 0.7476 [2 per cell]  1 Ho 3.21, 4 Pm 3.28-3.42, 3 Y 3.36-3.37

***

## Pm4BiSb5 (PBE)

Data for a relaxed structure of Pm4BiSb5.

Energy relative to the elements, uncorrected, eV/atom: -0.90

a = 4.4979 Å, b = 4.4979 Å, c = 32.0116 Å
α = 90.00°, β = 90.00°, γ = 90.00°
Last column: nearest neighbours and their distance in Å.
Space group I4/mmm (No. 139)
One atom of each set of equivalent atoms:
Pm: 0.0000 0.0000 0.1014 [4 per cell]  6 Sb 3.17-3.25
Pm: 0.0000 0.0000 0.2997 [4 per cell]  6 Sb 3.17-3.20
Bi: 0.0000 0.0000 0.5000 [2 per cell]  6 Sb 3.18-3.21
Sb: 0.0000 0.0000 0.0000 [2 per cell]  4 Bi 3.18, 2 Pm 3.25
Sb: 0.0000 0.0000 0.2006 [4 per cell]  6 Pm 3.17-3.18
Sb: 0.0000 0.0000 0.3996 [4 per cell]  5 Pm 3.18-3.20, 1 Bi 3.21